Ho3NbPd12: relaxed, PBE.

Calculated values
DFT total energy = -0.4536 Ry per atom
SG = No. 123

a b c (Å): 4.076 4.076 16.311
angles (deg): 90.00 90.00 90.00
Fractional coordinates of all 16 atoms:
Pd: 0.000 0.500 0.628
Pd: 0.500 0.500 0.243
Pd: 0.000 0.500 0.372
Pd: 0.000 0.500 0.885
Pd: 0.000 0.500 0.115
Pd: 0.500 0.500 0.757
Pd: 0.500 0.000 0.115
Pd: 0.500 0.000 0.372
Pd: 0.500 0.500 0.000
Pd: 0.500 0.500 0.500
Pd: 0.500 0.000 0.628
Pd: 0.500 0.000 0.885
Ho: 0.000 0.000 0.250
Ho: 0.000 0.000 0.750
Ho: 0.000 0.000 0.500
Nb: 0.000 0.000 0.000